An optimized crystal structure of Zr2PdI, computed with GGA-PBE.

The structure in POSCAR format:
```
Zr2PdI
1.0
-4.149 -3.992 -2.285
1.326 -3.984 4.554
-6.034 -1.300 4.832
I Zr Pd
2 4 2
Cartesian
0.000 0.000 0.000 I
-5.797 -4.640 1.841 I
-3.718 -3.108 0.470 Zr
-1.417 -3.524 3.648 Zr
-5.514 -4.176 4.715 Zr
-7.066 -7.745 5.370 Zr
-1.412 -3.988 1.135 Pd
-3.060 -4.636 5.260 Pd
```

Formation energy (no corrections), meV/atom: 315
Energy relative to the lowest polymorph listed for this composition, meV per atom: 471.1
Raw total energy, eV/atom: -5.64
Space group: I-42d, No. 122
DOS(E_F), states/eV/cell: 7.987